Entry one
CaPm2 | GGA-PBE | relaxed

The structure in extended XYZ format:
```
6
Lattice="-4.305 1.904 -5.004 -6.781 -0.708 0.848 -3.960 5.556 0.804" Properties=species:S:1:pos:R:3 pbc="T T T"
Ca 0.000 0.000 0.000
Ca -3.761 1.688 -0.838
Pm -7.251 3.269 0.407
Pm -6.013 4.574 -2.519
Pm -9.403 4.221 -2.095
Pm -7.423 1.442 -2.497
```

***

Entry two
CaPm2 | GGA-PBE | relaxed

The structure in extended XYZ format:
```
3
Lattice="3.719 0.001 -0.001 0.001 3.719 -0.001 -1.858 -1.858 7.902" Properties=species:S:1:pos:R:3 pbc="T T T"
Ca 1.860 1.860 -0.001
Pm 0.001 0.001 2.766
Pm 1.861 1.861 5.135
```

***

Least stable of them? entry one.

***

Entry one
Ca4Pm | GGA-PBE | relaxed

The structure in extended XYZ format:
```
5
Lattice="-2.353 -0.057 -5.542 -5.523 -0.484 2.350 -0.468 6.002 0.137" Properties=species:S:1:pos:R:3 pbc="T T T"
Ca 0.000 0.000 0.000
Ca -1.410 2.972 -2.703
Ca -2.995 2.759 1.243
Ca -3.938 -0.270 -1.596
Pm -4.172 2.730 -1.528
```

***

Entry two
Ca4Pm | GGA-PBE | relaxed

The structure in extended XYZ format:
```
5
Lattice="-3.637 1.413 4.471 -5.780 0.879 -1.021 -1.298 -7.174 1.203" Properties=species:S:1:pos:R:3 pbc="T T T"
Ca -6.457 0.560 2.464
Ca -4.257 -5.441 2.189
Ca -7.116 -3.164 3.083
Ca -3.598 -1.717 1.570
Pm 0.000 0.000 0.000
```

***

Least stable of them? entry one.